# 1
This record from Alexandria via LeMat-Bulk describes HfVCo2 after structural relaxation. The functional is PBE.

Values from the calculation:
The mass density comes out at 10.26 g cm⁻³. The energy relative to the lowest polymorph listed for this composition comes out at 0.034 eV/atom. As for the space group: Fm-3m (225). As for the energy of formation: -0.1687 eV per atom.

a = 4.299 Å, b = 4.299 Å, c = 4.299 Å
α = 60.00°, β = 60.00°, γ = 60.00°
Fractional positions:
V: 0.500 0.500 0.500
Hf: 0.000 0.000 0.000
Co: 0.750 0.750 0.750
Co: 0.250 0.250 0.250

***

# 2
This record from Alexandria via LeMat-Bulk describes Na2MgSi2 after structural relaxation. The functional is PBE.

Values from the calculation:
The mass density comes out at 1.89 g cm⁻³. The energy relative to the lowest polymorph listed for this composition comes out at 0.097 eV/atom. As for the space group: I4/mmm (139). For the formation energy from raw total energies, the calculation gives 0.1839 eV per atom.

a = 4.135 Å, b = 4.135 Å, c = 7.129 Å
α = 73.14°, β = 73.14°, γ = 90.00°
Fractional positions:
Si: 0.414 0.414 0.171
Si: 0.586 0.586 0.829
Na: 0.250 0.750 0.500
Na: 0.750 0.250 0.500
Mg: 0.000 0.000 0.000

***

# 3
This record from Alexandria via LeMat-Bulk describes CaHoTlZn after structural relaxation. The functional is PBE.

Values from the calculation:
The mass density comes out at 7.64 g cm⁻³. The energy relative to the lowest polymorph listed for this composition comes out at 0.012 eV/atom. As for the space group: F-43m (216). As for the energy of formation: -0.3335 eV per atom.

a = 5.264 Å, b = 5.264 Å, c = 5.264 Å
α = 60.00°, β = 60.00°, γ = 60.00°
Fractional positions:
Ho: 0.750 0.750 0.750
Zn: 0.000 0.000 0.000
Ca: 0.250 0.250 0.250
Tl: 0.500 0.500 0.500

***

# 4
This record from Alexandria via LeMat-Bulk describes Sm2Tl2H after structural relaxation. The functional is PBE.

Values from the calculation:
The mass density comes out at 9.51 g cm⁻³. As for the space group: Cmc2_1 (36). The value obtained for the total energy is -3.853 eV/atom.

a = 3.809 Å, b = 10.602 Å, c = 6.431 Å
α = 90.00°, β = 107.23°, γ = 90.00°
Fractional positions:
Sm: 0.557 0.867 0.114
Sm: 0.443 0.367 0.886
Sm: 0.840 0.091 0.680
Sm: 0.160 0.591 0.320
Tl: 0.097 0.154 0.194
Tl: 0.716 0.355 0.432
Tl: 0.284 0.855 0.568
Tl: 0.903 0.654 0.806
H: 0.602 0.667 0.204
H: 0.398 0.167 0.796

***

# 5
This record from Alexandria via LeMat-Bulk describes Mg2Co2Ir after structural relaxation. The functional is PBE.

Values from the calculation:
The mass density comes out at 7.86 g cm⁻³. As for the space group: P4/mbm (127). As for the energy of formation: -0.0020 eV per atom.

a = 6.084 Å, b = 6.084 Å, c = 4.093 Å
α = 90.00°, β = 90.00°, γ = 90.00°
Fractional positions:
Co: 0.624 0.124 0.000
Co: 0.876 0.624 0.000
Co: 0.376 0.876 0.000
Co: 0.124 0.376 0.000
Mg: 0.681 0.819 0.500
Mg: 0.181 0.681 0.500
Mg: 0.319 0.181 0.500
Mg: 0.819 0.319 0.500
Ir: 0.500 0.500 0.000
Ir: 0.000 0.000 0.000

***

# 6
This record from Alexandria via LeMat-Bulk describes Ac2Ni4Sn3Bi after structural relaxation. The functional is PBE.

Values from the calculation:
The mass density comes out at 9.39 g cm⁻³. As for the space group: P-4m2 (115). As for the energy of formation: -0.4828 eV per atom.

a = 4.622 Å, b = 4.622 Å, c = 10.382 Å
α = 90.00°, β = 90.00°, γ = 90.00°
Fractional positions:
Sn: 0.500 0.000 0.881
Sn: 0.000 0.500 0.119
Sn: 0.000 0.000 0.500
Ac: 0.500 0.000 0.235
Ac: 0.000 0.500 0.765
Ni: 0.500 0.500 0.000
Ni: 0.500 0.000 0.631
Ni: 0.000 0.000 0.000
Ni: 0.000 0.500 0.369
Bi: 0.500 0.500 0.500